Version P
{"formula": "BeAlZn2", "functional": "GGA-PBE", "state": "optimized geometry", "lattice": [[4.5165, -1.3735, 0.0000], [4.5165, 1.3735, 0.0000], [-0.6545, 0.0000, 4.4707]], "species": ["Be", "Al", "Zn", "Zn"], "frac_coords": [[0.0000, 0.0000, 0.0000], [0.5000, 0.5000, 0.5000], [0.2591, 0.2591, 0.7615], [0.7409, 0.7409, 0.2385]]}

=====

Version Q
{"formula": "BeAlZn2", "functional": "GGA-PBE", "state": "optimized geometry", "lattice": [[2.6895, 0.0000, 0.0000], [0.0000, 2.6895, 0.0000], [0.0000, 0.0000, 7.6378]], "species": ["Be", "Al", "Zn", "Zn"], "frac_coords": [[0.0000, 0.0000, 0.0000], [0.5000, 0.5000, 0.7762], [0.0000, 0.0000, 0.4925], [0.5000, 0.5000, 0.2173]]}

=====

Name the least stable of them. version P.

=====

Version P
{"formula": "BeAlZn2", "functional": "GGA-PBE", "state": "optimized geometry", "lattice": [[0.0000, 2.8796, 3.7841], [2.5596, 0.0000, 3.7841], [2.5596, 2.8796, 0.0000]], "species": ["Be", "Al", "Zn", "Zn"], "frac_coords": [[0.0000, 0.0000, 0.0000], [0.7500, 0.7500, 0.7500], [0.2500, 0.2500, 0.2500], [0.5000, 0.5000, 0.5000]]}

=====

Version Q
{"formula": "BeAlZn2", "functional": "GGA-PBE", "state": "optimized geometry", "lattice": [[2.4773, -3.6863, 0.0000], [2.4773, 3.6863, 0.0000], [0.0000, 0.0000, 3.1093]], "species": ["Be", "Al", "Zn", "Zn"], "frac_coords": [[0.0000, 0.0000, 0.0000], [0.5000, 0.5000, 0.0000], [0.0000, 0.5000, 0.5000], [0.5000, 0.0000, 0.5000]]}

=====

Version R
{"formula": "BeAlZn2", "functional": "GGA-PBE", "state": "optimized geometry", "lattice": [[0.0000, 3.0352, 3.0352], [3.0352, 0.0000, 3.0352], [3.0352, 3.0352, 0.0000]], "species": ["Be", "Al", "Zn", "Zn"], "frac_coords": [[0.0000, 0.0000, 0.0000], [0.5000, 0.5000, 0.5000], [0.2500, 0.2500, 0.2500], [0.7500, 0.7500, 0.7500]]}

=====

Name the least stable of them. version R.

=====

Version P
{"formula": "Be2AlZn", "functional": "GGA-PBE", "state": "optimized geometry", "lattice": [[2.9535, 0.0000, 0.0000], [0.0000, 3.7249, 0.0000], [-1.4546, 0.0000, 4.4203]], "species": ["Be", "Be", "Al", "Zn"], "frac_coords": [[0.0000, 0.0000, 0.0000], [0.1306, 0.5000, 0.2613], [0.4087, 0.5000, 0.8106], [0.7193, 0.0000, 0.4459]]}

=====

Version Q
{"formula": "Be2AlZn", "functional": "GGA-PBE", "state": "optimized geometry", "lattice": [[-1.8451, 1.8451, 3.5853], [1.8451, -1.8451, 3.5853], [1.8451, 1.8451, -3.5853]], "species": ["Be", "Be", "Al", "Zn"], "frac_coords": [[0.2500, 0.7500, 0.5000], [0.7500, 0.2500, 0.5000], [0.0000, 0.0000, 0.0000], [0.5000, 0.5000, 0.0000]]}

=====

Version R
{"formula": "Be2AlZn", "functional": "GGA-PBE", "state": "optimized geometry", "lattice": [[4.4568, 0.0000, 0.0000], [0.0000, 4.4568, 0.0000], [0.0000, 0.0000, 2.4988]], "species": ["Be", "Be", "Al", "Zn"], "frac_coords": [[0.0000, 0.5000, 0.0000], [0.5000, 0.0000, 0.0000], [0.0000, 0.0000, 0.5000], [0.5000, 0.5000, 0.5000]]}

=====

Name the least stable of them. version R.

=====

Version P
{"formula": "Be2AlZn", "functional": "GGA-PBE", "state": "optimized geometry", "lattice": [[-1.8183, 1.8183, 3.6835], [1.8183, -1.8183, 3.6835], [1.8183, 1.8183, -3.6835]], "species": ["Be", "Be", "Al", "Zn"], "frac_coords": [[0.0000, 0.0000, 0.0000], [0.7500, 0.2500, 0.5000], [0.5000, 0.5000, 0.0000], [0.2500, 0.7500, 0.5000]]}

=====

Version Q
{"formula": "Be2AlZn", "functional": "GGA-PBE", "state": "optimized geometry", "lattice": [[1.3479, 0.7782, 7.7659], [-1.3479, 0.7782, 7.7659], [0.0000, -1.5564, 7.7659]], "species": ["Be", "Be", "Al", "Zn"], "frac_coords": [[0.2481, 0.2481, 0.2481], [0.7519, 0.7519, 0.7519], [0.0000, 0.0000, 0.0000], [0.5000, 0.5000, 0.5000]]}

=====

Name the least stable of them. version P.

=====

Version P
{"formula": "Be2AlZn", "functional": "GGA-PBE", "state": "optimized geometry", "lattice": [[3.6738, 0.0000, 0.0000], [0.0000, 3.6738, 0.0000], [0.0000, 0.0000, 3.6135]], "species": ["Be", "Be", "Al", "Zn"], "frac_coords": [[0.0000, 0.5000, 0.0000], [0.5000, 0.0000, 0.0000], [0.0000, 0.0000, 0.5000], [0.5000, 0.5000, 0.5000]]}

=====

Version Q
{"formula": "Be2AlZn", "functional": "GGA-PBE", "state": "optimized geometry", "lattice": [[-1.2416, 1.9449, 5.3196], [1.2416, -1.9449, 5.3196], [1.2416, 1.9449, -5.3196]], "species": ["Be", "Be", "Al", "Zn"], "frac_coords": [[0.0000, 0.0000, 0.0000], [0.8156, 0.3156, 0.5000], [0.6054, 0.6054, 0.0000], [0.3364, 0.8364, 0.5000]]}

=====

Version R
{"formula": "Be2AlZn", "functional": "GGA-PBE", "state": "optimized geometry", "lattice": [[-3.3698, 3.3698, 2.4188], [3.3698, -3.3698, 2.4188], [3.3698, 3.3698, -2.4188]], "species": ["Be", "Be", "Be", "Be", "Al", "Al", "Zn", "Zn"], "frac_coords": [[0.1059, 0.6250, 0.9809], [0.3750, 0.3559, 0.4809], [0.6441, 0.1250, 0.0191], [0.8750, 0.8941, 0.5191], [0.2500, 0.7500, 0.5000], [0.5000, 0.5000, 0.0000], [0.0000, 0.0000, 0.0000], [0.7500, 0.2500, 0.5000]]}

=====

Name the least stable of them. version R.

=====

Version P
{"formula": "BeAl2Zn2", "functional": "GGA-PBE", "state": "optimized geometry", "lattice": [[6.2912, 0.0000, 0.0000], [0.0000, 6.2912, 0.0000], [0.0000, 0.0000, 4.0065]], "species": ["Be", "Be", "Al", "Al", "Al", "Al", "Zn", "Zn", "Zn", "Zn"], "frac_coords": [[0.0000, 0.0000, 0.0000], [0.5000, 0.5000, 0.0000], [0.1532, 0.3468, 0.0000], [0.3468, 0.8468, 0.0000], [0.6532, 0.1532, 0.0000], [0.8468, 0.6532, 0.0000], [0.1525, 0.6525, 0.5000], [0.3475, 0.1525, 0.5000], [0.6525, 0.8475, 0.5000], [0.8475, 0.3475, 0.5000]]}

=====

Version Q
{"formula": "BeAl2Zn2", "functional": "GGA-PBE", "state": "optimized geometry", "lattice": [[6.1917, 0.0000, 0.0000], [0.0000, 6.1917, 0.0000], [0.0000, 0.0000, 3.9455]], "species": ["Be", "Be", "Al", "Al", "Al", "Al", "Zn", "Zn", "Zn", "Zn"], "frac_coords": [[0.0000, 0.0000, 0.0000], [0.5000, 0.5000, 0.0000], [0.1619, 0.3381, 0.5000], [0.3381, 0.8381, 0.5000], [0.6619, 0.1619, 0.5000], [0.8381, 0.6619, 0.5000], [0.1480, 0.6480, 0.0000], [0.3520, 0.1480, 0.0000], [0.6480, 0.8520, 0.0000], [0.8520, 0.3520, 0.0000]]}

=====

Name the least stable of them. version P.

=====

Version P
{"formula": "BeAlZn3", "functional": "GGA-PBE", "state": "optimized geometry", "lattice": [[4.8258, 0.0000, 0.0000], [0.0000, 4.8258, 0.0000], [0.0000, 0.0000, 4.8258]], "species": ["Be", "Al", "Zn", "Zn", "Zn"], "frac_coords": [[0.0000, 0.0000, 0.0000], [0.5000, 0.5000, 0.5000], [0.0000, 0.5000, 0.5000], [0.5000, 0.0000, 0.5000], [0.5000, 0.5000, 0.0000]]}

=====

Version Q
{"formula": "BeAlZn3", "functional": "GGA-PBE", "state": "optimized geometry", "lattice": [[4.3630, 0.0000, 0.0000], [0.0000, 4.3630, 0.0000], [0.0000, 0.0000, 4.3630]], "species": ["Be", "Al", "Zn", "Zn", "Zn"], "frac_coords": [[0.0000, 0.0000, 0.0000], [0.5000, 0.5000, 0.5000], [0.0000, 0.0000, 0.5000], [0.0000, 0.5000, 0.0000], [0.5000, 0.0000, 0.0000]]}

=====

Name the least stable of them. version P.

=====

Version P
{"formula": "Be2AlZn2", "functional": "GGA-PBE", "state": "optimized geometry", "lattice": [[7.0259, 0.0000, 0.0000], [0.0000, 7.0259, 0.0000], [0.0000, 0.0000, 2.5956]], "species": ["Be", "Be", "Be", "Be", "Al", "Al", "Zn", "Zn", "Zn", "Zn"], "frac_coords": [[0.1135, 0.3865, 0.0000], [0.3865, 0.8865, 0.0000], [0.6135, 0.1135, 0.0000], [0.8865, 0.6135, 0.0000], [0.0000, 0.0000, 0.0000], [0.5000, 0.5000, 0.0000], [0.1830, 0.6830, 0.5000], [0.3170, 0.1830, 0.5000], [0.6830, 0.8170, 0.5000], [0.8170, 0.3170, 0.5000]]}

=====

Version Q
{"formula": "Be2AlZn2", "functional": "GGA-PBE", "state": "optimized geometry", "lattice": [[7.2232, 0.0000, 0.0000], [0.0000, 7.2232, 0.0000], [0.0000, 0.0000, 2.5082]], "species": ["Be", "Be", "Be", "Be", "Al", "Al", "Zn", "Zn", "Zn", "Zn"], "frac_coords": [[0.1724, 0.3276, 0.0000], [0.3276, 0.8276, 0.0000], [0.6724, 0.1724, 0.0000], [0.8276, 0.6724, 0.0000], [0.0000, 0.0000, 0.5000], [0.5000, 0.5000, 0.5000], [0.1279, 0.6279, 0.5000], [0.3721, 0.1279, 0.5000], [0.6279, 0.8721, 0.5000], [0.8721, 0.3721, 0.5000]]}

=====

Name the least stable of them. version Q.

=====

Version P
{"formula": "Zr2Be2Al", "functional": "GGA-PBE", "state": "optimized geometry", "lattice": [[-1.8439, 2.5933, 4.1346], [1.8439, -2.5933, 4.1346], [1.8439, 2.5933, -4.1346]], "species": ["Zr", "Zr", "Be", "Be", "Al"], "frac_coords": [[0.2108, 0.2108, 0.0000], [0.7892, 0.7892, 0.0000], [0.2041, 0.5000, 0.7041], [0.7959, 0.5000, 0.2959], [0.5000, 0.0000, 0.5000]]}

=====

Version Q
{"formula": "Zr2Be2Al", "functional": "GGA-PBE", "state": "optimized geometry", "lattice": [[6.3937, 0.0000, 0.0000], [0.0000, 6.3937, 0.0000], [0.0000, 0.0000, 3.8847]], "species": ["Zr", "Zr", "Zr", "Zr", "Be", "Be", "Be", "Be", "Al", "Al"], "frac_coords": [[0.1708, 0.3292, 0.0000], [0.3292, 0.8292, 0.0000], [0.6708, 0.1708, 0.0000], [0.8292, 0.6708, 0.0000], [0.1215, 0.6215, 0.5000], [0.3785, 0.1215, 0.5000], [0.6215, 0.8785, 0.5000], [0.8785, 0.3785, 0.5000], [0.0000, 0.0000, 0.5000], [0.5000, 0.5000, 0.5000]]}

=====

Name the least stable of them. version P.

=====

Version P
{"formula": "ZrBeAl3", "functional": "GGA-PBE", "state": "optimized geometry", "lattice": [[4.3875, 0.0000, 0.0000], [0.0000, 4.3875, 0.0000], [0.0000, 0.0000, 4.3875]], "species": ["Zr", "Be", "Al", "Al", "Al"], "frac_coords": [[0.0000, 0.0000, 0.0000], [0.5000, 0.5000, 0.5000], [0.0000, 0.5000, 0.5000], [0.5000, 0.0000, 0.5000], [0.5000, 0.5000, 0.0000]]}

=====

Version Q
{"formula": "ZrBeAl3", "functional": "GGA-PBE", "state": "optimized geometry", "lattice": [[1.9842, -11.1273, 0.0000], [1.9842, 11.1273, 0.0000], [0.0000, 0.0000, 3.7691]], "species": ["Zr", "Zr", "Be", "Be", "Al", "Al", "Al", "Al", "Al", "Al"], "frac_coords": [[0.1667, 0.8333, 0.0000], [0.8333, 0.1667, 0.0000], [0.3802, 0.6198, 0.5000], [0.6198, 0.3802, 0.5000], [0.0596, 0.9404, 0.5000], [0.2815, 0.7185, 0.5000], [0.4414, 0.5586, 0.0000], [0.5586, 0.4414, 0.0000], [0.7185, 0.2815, 0.5000], [0.9404, 0.0596, 0.5000]]}

=====

Name the least stable of them. version P.

=====

Version P
{"formula": "AlBi3", "functional": "GGA-PBE", "state": "optimized geometry", "lattice": [[4.8955, 0.0000, 0.0000], [0.0000, 4.8955, 0.0000], [0.0000, 0.0000, 4.8955]], "species": ["Al", "Bi", "Bi", "Bi"], "frac_coords": [[0.0000, 0.0000, 0.0000], [0.0000, 0.5000, 0.5000], [0.5000, 0.0000, 0.5000], [0.5000, 0.5000, 0.0000]]}

=====

Version Q
{"formula": "AlBi3", "functional": "GGA-PBE", "state": "optimized geometry", "lattice": [[3.3426, 0.0000, 0.0000], [0.0000, 4.1622, 0.0000], [0.0000, 0.0000, 8.6550]], "species": ["Al", "Bi", "Bi", "Bi"], "frac_coords": [[0.0000, 0.0000, 0.0000], [0.0000, 0.5000, 0.2506], [0.5000, 0.0000, 0.5140], [0.5000, 0.5000, 0.8125]]}

=====

Version R
{"formula": "AlBi3", "functional": "GGA-PBE", "state": "optimized geometry", "lattice": [[-1.9538, 6.0784, 2.4895], [1.9538, -6.0784, 2.4895], [1.9538, 6.0784, -2.4895]], "species": ["Al", "Bi", "Bi", "Bi"], "frac_coords": [[0.0000, 0.0000, 0.0000], [0.1877, 0.4966, 0.6910], [0.4983, 0.9983, 0.5000], [0.8056, 0.4966, 0.3090]]}

=====

Name the least stable of them. version P.

=====

Version P
{"formula": "Al2BiBr", "functional": "GGA-PBE", "state": "optimized geometry", "lattice": [[-2.9548, 2.9548, 7.7758], [2.9548, -2.9548, 7.7758], [2.9548, 2.9548, -7.7758]], "species": ["Al", "Al", "Al", "Al", "Bi", "Bi", "Br", "Br"], "frac_coords": [[0.1141, 0.6250, 0.9891], [0.3750, 0.3641, 0.4891], [0.6359, 0.1250, 0.0109], [0.8750, 0.8859, 0.5109], [0.2500, 0.7500, 0.5000], [0.5000, 0.5000, 0.0000], [0.0000, 0.0000, 0.0000], [0.7500, 0.2500, 0.5000]]}

=====

Version Q
{"formula": "Al2BiBr", "functional": "GGA-PBE", "state": "optimized geometry", "lattice": [[0.0000, 3.6614, 3.6614], [3.6614, 0.0000, 3.6614], [3.6614, 3.6614, 0.0000]], "species": ["Al", "Al", "Bi", "Br"], "frac_coords": [[0.2500, 0.2500, 0.2500], [0.7500, 0.7500, 0.7500], [0.0000, 0.0000, 0.0000], [0.5000, 0.5000, 0.5000]]}

=====

Name the least stable of them. version P.